Run i
Computed, not measured: B2C after structural relaxation at the GGA-PBE level of DFT.

a = 11.864 Å, b = 2.713 Å, c = 5.685 Å
α = 90.00°, β = 105.14°, γ = 90.00°
Space group Cm (No. 8)
One atom of each set of equivalent atoms:
B: 0.000 0.000 0.000 (multiplicity 2)
B: 0.004 0.000 0.510 (multiplicity 2)
B: 0.111 0.500 0.102 (multiplicity 2)
B: 0.121 0.500 0.576 (multiplicity 2)
B: 0.178 0.500 0.874 (multiplicity 2)
B: 0.193 0.000 0.063 (multiplicity 2)
B: 0.367 0.000 0.228 (multiplicity 2)
B: 0.377 0.000 0.622 (multiplicity 2)
C: 0.192 0.500 0.377 (multiplicity 2)
C: 0.266 0.000 0.383 (multiplicity 2)
C: 0.431 0.500 0.214 (multiplicity 2)
C: 0.431 0.500 0.721 (multiplicity 2)

=====

Run ii
Computed, not measured: B2C after structural relaxation at the GGA-PBE level of DFT.

a = 3.645 Å, b = 5.198 Å, c = 5.239 Å
α = 65.24°, β = 80.14°, γ = 79.84°
Space group P1 (No. 1)
One atom of each set of equivalent atoms:
B: 0.000 0.000 0.000 (multiplicity 1)
B: 0.007 0.510 0.486 (multiplicity 1)
B: 0.251 0.152 0.667 (multiplicity 1)
B: 0.373 0.500 0.990 (multiplicity 1)
B: 0.464 0.177 0.926 (multiplicity 1)
B: 0.627 0.716 0.664 (multiplicity 1)
B: 0.683 0.194 0.181 (multiplicity 1)
B: 0.817 0.531 0.013 (multiplicity 1)
C: 0.037 0.658 0.149 (multiplicity 1)
C: 0.296 0.528 0.675 (multiplicity 1)
C: 0.621 0.053 0.516 (multiplicity 1)
C: 0.831 0.170 0.667 (multiplicity 1)

=====

The least stable of them is run i.

=====

Run i
Computed, not measured: CdSbIr2 after structural relaxation at the GGA-PBE level of DFT.

a = 2.9511 Å, b = 2.9511 Å, c = 31.4770 Å
α = 90.00°, β = 90.00°, γ = 120.00°
Space group R3m (No. 160, hexagonal axes)
One atom of each set of equivalent atoms:
Cd: 0.0000 0.0000 0.0000 (multiplicity 3)
Sb: 0.0000 0.0000 0.7866 (multiplicity 3)
Ir: 0.0000 0.0000 0.2583 (multiplicity 3)
Ir: 0.0000 0.0000 0.5247 (multiplicity 3)

=====

Run ii
Computed, not measured: CdSbIr2 after structural relaxation at the GGA-PBE level of DFT.

a = 8.806 Å, b = 3.092 Å, c = 5.337 Å
α = 90.00°, β = 100.47°, γ = 90.00°
Space group C2/m (No. 12)
One atom of each set of equivalent atoms:
Cd: 0.000 0.000 0.000 (multiplicity 2)
Sb: 0.000 0.500 0.500 (multiplicity 2)
Ir: 0.247 0.000 0.731 (multiplicity 4)

=====

The least stable of them is run i.

=====

Run i
Computed, not measured: BaW2Cl after structural relaxation at the GGA-PBE level of DFT.

a = 3.921 Å, b = 3.921 Å, c = 6.994 Å
α = 90.00°, β = 90.00°, γ = 90.00°
Space group P4/mmm (No. 123)
One atom of each set of equivalent atoms:
Ba: 0.000 0.000 0.000 (multiplicity 1)
W: 0.000 0.500 0.500 (multiplicity 2)
Cl: 0.500 0.500 0.000 (multiplicity 1)

=====

Run ii
Computed, not measured: BaW2Cl after structural relaxation at the GGA-PBE level of DFT.

a = 3.410 Å, b = 5.416 Å, c = 9.669 Å
α = 90.00°, β = 90.00°, γ = 90.00°
Space group Cmm2 (No. 35)
One atom of each set of equivalent atoms:
Ba: 0.000 0.000 0.000 (multiplicity 2)
W: 0.000 0.000 0.505 (multiplicity 2)
W: 0.000 0.500 0.691 (multiplicity 2)
Cl: 0.000 0.500 0.266 (multiplicity 2)

=====

The least stable of them is run i.

=====

Run i
Computed, not measured: TlSi2As after structural relaxation at the GGA-PBE level of DFT.

a = 4.028 Å, b = 4.446 Å, c = 5.054 Å
α = 90.00°, β = 101.57°, γ = 90.00°
Space group Pm (No. 6)
One atom of each set of equivalent atoms:
Tl: 0.000 0.000 0.000 (multiplicity 1)
Si: 0.242 0.500 0.642 (multiplicity 1)
Si: 0.468 0.000 0.521 (multiplicity 1)
As: 0.686 0.500 0.329 (multiplicity 1)

=====

Run ii
Computed, not measured: TlSi2As after structural relaxation at the GGA-PBE level of DFT.

a = 3.528 Å, b = 5.573 Å, c = 8.856 Å
α = 90.00°, β = 90.00°, γ = 90.00°
Space group Immm (No. 71)
One atom of each set of equivalent atoms:
Tl: 0.000 0.000 0.000 (multiplicity 2)
Si: 0.000 0.500 0.206 (multiplicity 4)
As: 0.000 0.000 0.500 (multiplicity 2)

=====

The least stable of them is run ii.

=====

Run i
Computed, not measured: Mn2CrCl after structural relaxation at the GGA-PBE level of DFT.

a = 3.0980 Å, b = 3.0980 Å, c = 22.7789 Å
α = 90.00°, β = 90.00°, γ = 120.00°
Space group R-3m (No. 166, hexagonal axes)
One atom of each set of equivalent atoms:
Mn: 0.0000 0.0000 0.2450 (multiplicity 6)
Cr: 0.0000 0.0000 0.5000 (multiplicity 3)
Cl: 0.0000 0.0000 0.0000 (multiplicity 3)

=====

Run ii
Computed, not measured: Mn2CrCl after structural relaxation at the GGA-PBE level of DFT.

a = 5.741 Å, b = 5.741 Å, c = 5.741 Å
α = 90.00°, β = 90.00°, γ = 90.00°
Space group Fm-3m (No. 225)
One atom of each set of equivalent atoms:
Mn: 0.250 0.250 0.250 (multiplicity 8)
Cr: 0.000 0.000 0.000 (multiplicity 4)
Cl: 0.000 0.000 0.500 (multiplicity 4)

=====

The least stable of them is run ii.

=====

Run i
Computed, not measured: B5C7 after structural relaxation at the GGA-PBE level of DFT.

a = 13.467 Å, b = 2.481 Å, c = 4.816 Å
α = 90.00°, β = 103.38°, γ = 90.00°
Space group Cm (No. 8)
One atom of each set of equivalent atoms:
B: 0.000 0.000 0.000 (multiplicity 2)
B: 0.041 0.500 0.260 (multiplicity 2)
B: 0.143 0.000 0.820 (multiplicity 2)
B: 0.206 0.500 0.084 (multiplicity 2)
B: 0.350 0.500 0.869 (multiplicity 2)
C: 0.013 0.000 0.689 (multiplicity 2)
C: 0.161 0.500 0.370 (multiplicity 2)
C: 0.197 0.000 0.544 (multiplicity 2)
C: 0.314 0.000 0.645 (multiplicity 2)
C: 0.332 0.500 0.193 (multiplicity 2)
C: 0.364 0.000 0.381 (multiplicity 2)
C: 0.483 0.000 0.512 (multiplicity 2)

=====

Run ii
Computed, not measured: B5C7 after structural relaxation at the GGA-PBE level of DFT.

a = 2.591 Å, b = 2.609 Å, c = 11.865 Å
α = 90.00°, β = 90.00°, γ = 90.00°
Space group Pmm2 (No. 25)
One atom of each set of equivalent atoms:
B: 0.000 0.000 0.000 (multiplicity 1)
B: 0.000 0.000 0.384 (multiplicity 1)
B: 0.000 0.500 0.115 (multiplicity 1)
B: 0.500 0.000 0.256 (multiplicity 1)
B: 0.500 0.500 0.531 (multiplicity 1)
C: 0.000 0.000 0.692 (multiplicity 1)
C: 0.000 0.500 0.447 (multiplicity 1)
C: 0.000 0.500 0.768 (multiplicity 1)
C: 0.500 0.000 0.620 (multiplicity 1)
C: 0.500 0.000 0.917 (multiplicity 1)
C: 0.500 0.500 0.192 (multiplicity 1)
C: 0.500 0.500 0.844 (multiplicity 1)

=====

The least stable of them is run ii.

=====

Run i
Computed, not measured: AlZnW2 after structural relaxation at the GGA-PBE level of DFT.

a = 2.720 Å, b = 2.720 Å, c = 8.449 Å
α = 90.00°, β = 90.00°, γ = 90.00°
Space group P4mm (No. 99)
One atom of each set of equivalent atoms:
Al: 0.000 0.000 0.000 (multiplicity 1)
Zn: 0.500 0.500 0.755 (multiplicity 1)
W: 0.000 0.000 0.509 (multiplicity 1)
W: 0.500 0.500 0.241 (multiplicity 1)

=====

Run ii
Computed, not measured: AlZnW2 after structural relaxation at the GGA-PBE level of DFT.

a = 5.409 Å, b = 8.405 Å, c = 2.701 Å
α = 90.00°, β = 90.00°, γ = 90.00°
Space group Cmmm (No. 65)
One atom of each set of equivalent atoms:
Al: 0.000 0.000 0.000 (multiplicity 2)
Zn: 0.000 0.500 0.000 (multiplicity 2)
W: 0.250 0.250 0.500 (multiplicity 4)

=====

The least stable of them is run i.

=====

Run i
Computed, not measured: Al2RhW after structural relaxation at the GGA-PBE level of DFT.

a = 2.8420 Å, b = 2.8420 Å, c = 26.2910 Å
α = 90.00°, β = 90.00°, γ = 120.00°
Space group R3m (No. 160, hexagonal axes)
One atom of each set of equivalent atoms:
Al: 0.0000 0.0000 0.0000 (multiplicity 3)
Al: 0.0000 0.0000 0.2451 (multiplicity 3)
Rh: 0.0000 0.0000 0.5010 (multiplicity 3)
W: 0.0000 0.0000 0.7520 (multiplicity 3)

=====

Run ii
Computed, not measured: Al2RhW after structural relaxation at the GGA-PBE level of DFT.

a = 2.832 Å, b = 4.843 Å, c = 8.810 Å
α = 90.00°, β = 90.00°, γ = 90.00°
Space group Immm (No. 71)
One atom of each set of equivalent atoms:
Al: 0.000 0.000 0.235 (multiplicity 4)
Rh: 0.000 0.500 0.500 (multiplicity 2)
W: 0.000 0.500 0.000 (multiplicity 2)

=====

The least stable of them is run ii.